a:
A plane-wave DFT calculation with meta-GGA SCAN was carried out for CoMoIr2 at its PBEsol-relaxed geometry.

Summary:
For the mass density, the calculation gives 16.830 g/cm³. The calculation puts the total moment at 0.0 μB/f.u. The symmetry is P4/mmm (123). The crystal system is tetragonal.

The structure in POSCAR format:
```
CoMoIr2
1.0
3.718 0.000 0.000
0.000 3.783 0.000
0.000 0.000 3.783
Co Ir Mo
1 2 1
Cartesian
1.859 0.000 0.000
0.000 1.892 0.000
0.000 0.000 1.892
1.859 1.892 1.892
```

---

b:
A plane-wave DFT calculation with meta-GGA SCAN was carried out for CoMoIr2 at its PBEsol-relaxed geometry.

Summary:
For the mass density, the calculation gives 16.610 g/cm³. The calculation puts the total moment at 2.0 μB/f.u. The symmetry is Pmmm (47). The crystal system is orthorhombic.

The structure in POSCAR format:
```
CoMoIr2
1.0
-1.752 -1.999 -0.487
2.788 -2.167 -1.135
0.651 -1.795 5.028
Mo Ir Co
1 2 1
Cartesian
0.518 -2.083 -0.811
0.481 -1.327 3.716
0.170 -0.468 1.311
0.843 -2.981 1.703
```

---

Name the least stable of them. a.

---

a:
A plane-wave DFT calculation with meta-GGA SCAN was carried out for TcIr2Ru at its PBEsol-relaxed geometry.

Summary:
For the mass density, the calculation gives 17.540 g/cm³. The calculation puts the total moment at 0.0 μB/f.u. The symmetry is Pmm2 (25). The crystal system is orthorhombic.

The structure in POSCAR format:
```
TcIr2Ru
1.0
-1.791 1.275 -1.540
-2.484 -2.849 0.530
-1.954 2.513 4.353
Ir Ru Tc
2 1 1
Cartesian
-2.637 -0.145 0.608
-1.945 2.500 4.332
-0.978 1.257 2.178
-3.600 1.094 2.755
```

---

b:
A plane-wave DFT calculation with meta-GGA SCAN was carried out for TcIr2Ru at its PBEsol-relaxed geometry.

Summary:
For the mass density, the calculation gives 17.549 g/cm³. The calculation puts the total moment at 0.0 μB/f.u. The symmetry is Cm (8). The crystal system is monoclinic.

The structure in POSCAR format:
```
TcIr2Ru
1.0
-1.155 1.288 -2.050
2.733 -3.294 -1.852
-3.903 -2.504 0.625
Ir Tc Ru
2 1 1
Cartesian
-0.492 -1.328 -2.308
-2.313 -4.490 -3.272
-1.849 -3.203 -0.970
-2.523 -0.607 -0.714
```

---

Name the least stable of them. a.

---

a:
A plane-wave DFT calculation with meta-GGA SCAN was carried out for Tl2Sb at its PBEsol-relaxed geometry.

Summary:
For the mass density, the calculation gives 8.774 g/cm³. The calculation puts the total moment at 0.0 μB/f.u. The symmetry is Pnnm (58). The crystal system is orthorhombic.

The structure in POSCAR format:
```
Tl2Sb
1.0
4.597 0.000 0.000
0.000 5.659 0.000
0.000 0.000 7.719
Tl Sb
4 2
Cartesian
2.299 3.936 6.688
0.000 4.552 2.828
0.000 1.107 4.891
2.299 1.722 1.031
0.000 0.000 0.000
2.299 2.829 3.860
```

---

b:
A plane-wave DFT calculation with meta-GGA SCAN was carried out for Tl2Sb at its PBEsol-relaxed geometry.

Summary:
For the mass density, the calculation gives 10.248 g/cm³. The calculation puts the total moment at 0.0 μB/f.u. The symmetry is I4/mmm (139). The crystal system is tetragonal.

The structure in POSCAR format:
```
Tl2Sb
1.0
-0.341 2.850 1.634
-2.687 -1.187 1.510
6.025 -3.630 4.252
Tl Sb
2 1
Cartesian
-0.077 -0.060 3.427
3.075 -1.907 3.970
0.000 0.000 0.000
```

---

Name the least stable of them. a.

---

a:
A plane-wave DFT calculation with meta-GGA SCAN was carried out for Na9Cu2O7 at its PBEsol-relaxed geometry.

Summary:
For the mass density, the calculation gives 3.169 g/cm³. The calculation puts the total moment at 3.0 μB/f.u. The symmetry is P2_13 (198). The crystal system is cubic.

The structure in POSCAR format:
```
Na9Cu2O7
1.0
-0.796 -9.180 3.271
7.314 1.606 6.287
-6.440 2.958 6.736
O Na Cu
28 36 8
Cartesian
4.018 -3.003 9.989
-5.500 -5.668 9.156
-1.776 -2.529 9.194
0.260 3.231 11.649
1.214 -0.041 12.684
2.239 -7.036 7.916
-3.481 -4.015 11.581
2.941 1.450 10.316
3.623 -0.791 6.905
-2.735 0.576 7.322
0.157 0.406 5.846
0.891 -4.147 8.723
1.678 -2.565 4.997
5.383 -6.008 9.007
-1.758 -2.350 5.074
-1.791 0.538 11.020
-5.047 -2.218 9.316
-1.520 0.375 2.793
-2.081 -6.077 9.148
-0.038 2.005 8.445
3.736 -4.035 6.716
-0.194 -2.519 1.966
1.017 -1.114 9.582
1.750 0.036 2.681
2.438 -5.935 11.009
0.062 -3.609 12.742
-3.592 -4.167 6.714
-0.793 -5.407 5.618
-1.293 -4.506 7.735
-4.894 0.800 6.100
0.714 -5.871 12.711
-2.490 -6.781 4.740
-0.793 -7.386 7.132
-1.422 2.656 10.176
1.439 -4.797 6.544
2.238 -0.093 5.134
2.636 -2.398 8.313
0.687 0.941 10.635
4.592 1.401 6.224
0.050 -3.831 4.085
-4.013 0.756 9.453
-3.568 -4.020 9.250
2.004 -3.644 11.181
4.929 -0.623 9.020
-2.152 -3.263 13.464
3.020 -5.080 8.918
-2.218 -0.143 5.141
0.018 -1.072 3.784
-1.222 -0.180 8.960
-3.294 -1.761 10.853
5.821 -1.318 6.247
1.631 -2.176 13.753
1.787 0.460 8.032
0.005 -0.313 1.106
0.031 -1.823 6.436
5.389 -3.805 8.313
-3.242 2.869 7.477
2.817 -0.790 11.099
0.629 -6.366 9.530
-3.840 -6.258 7.662
-1.317 -4.610 10.924
-0.523 -1.361 11.840
-3.119 -1.885 7.391
0.380 -6.803 3.921
0.071 -4.163 14.697
0.045 -2.614 9.228
-2.348 -4.142 5.280
3.983 2.173 9.008
3.423 -2.440 5.734
-0.988 1.515 6.876
-5.872 -1.112 8.125
2.002 -7.678 6.227
```

---

b:
A plane-wave DFT calculation with meta-GGA SCAN was carried out for Na9Cu2O7 at its PBEsol-relaxed geometry.

Summary:
For the mass density, the calculation gives 3.178 g/cm³. The calculation puts the total moment at 3.1 μB/f.u. The symmetry is Pca2_1 (29). The crystal system is orthorhombic.

The structure in POSCAR format:
```
Na9Cu2O7
1.0
9.397 0.000 0.000
0.000 9.743 0.000
0.000 0.000 10.182
Na O Cu
36 28 8
Cartesian
4.045 0.440 6.618
4.823 2.530 1.390
4.573 7.213 6.481
8.743 9.303 6.618
0.697 6.511 8.764
7.974 4.397 8.155
2.090 2.786 2.299
6.121 4.397 3.064
1.504 1.025 4.887
3.194 1.025 9.978
1.423 5.346 3.064
7.374 2.198 0.513
8.700 3.232 3.673
2.676 7.545 0.513
7.893 8.718 9.978
0.219 1.541 9.007
0.125 7.213 1.390
3.830 5.017 0.943
5.395 3.232 8.764
5.352 9.303 1.527
6.721 2.198 5.604
2.023 7.545 5.604
0.654 0.440 1.527
4.001 6.511 3.673
0.869 5.017 6.034
9.177 8.202 3.916
9.271 2.530 6.481
4.479 1.541 3.916
6.788 6.958 2.299
3.275 5.346 8.155
5.567 4.727 6.034
4.918 8.202 9.007
6.202 8.718 4.887
2.608 2.786 7.390
8.528 4.727 0.943
7.307 6.958 7.390
6.188 4.269 0.680
0.309 2.699 0.845
2.851 7.587 8.197
1.409 0.816 7.154
6.107 8.927 7.154
0.919 4.131 8.131
1.459 3.272 4.508
9.087 7.045 5.936
7.549 2.156 8.197
3.240 3.272 9.599
6.157 6.471 4.508
5.008 7.045 0.845
3.779 4.131 3.040
7.938 6.471 9.599
3.209 5.474 5.771
1.848 7.587 3.106
8.477 5.612 3.040
1.490 5.474 0.680
3.289 0.816 2.063
3.848 8.990 4.704
0.850 8.990 9.795
8.547 0.753 4.704
5.617 5.612 8.131
7.907 4.269 5.771
6.546 2.156 3.106
5.548 0.753 9.795
7.988 8.927 2.063
4.389 2.699 5.936
1.816 9.082 8.159
2.882 9.082 3.068
6.514 0.661 8.159
7.581 0.661 3.068
6.151 5.906 9.920
7.943 5.906 4.829
1.453 3.837 9.920
3.245 3.837 4.829
```

---

Name the least stable of them. a.

---

a:
A plane-wave DFT calculation with meta-GGA SCAN was carried out for Mg2AsPb at its PBEsol-relaxed geometry.

Summary:
For the mass density, the calculation gives 6.086 g/cm³. The calculation puts the total moment at 0.0 μB/f.u. The symmetry is C2/m (12). The crystal system is monoclinic.

The structure in POSCAR format:
```
Mg2AsPb
1.0
3.857 0.000 0.000
-1.929 4.319 -0.005
0.000 -1.712 5.418
As Mg Pb
1 2 1
Cartesian
1.929 0.000 0.000
0.000 1.621 1.155
1.929 0.986 4.259
0.000 -0.856 2.709
```

---

b:
A plane-wave DFT calculation with meta-GGA SCAN was carried out for Mg2AsPb at its PBEsol-relaxed geometry.

Summary:
For the mass density, the calculation gives 6.064 g/cm³. The calculation puts the total moment at 0.0 μB/f.u. The symmetry is Immm (71). The crystal system is orthorhombic.

The structure in POSCAR format:
```
Mg2AsPb
1.0
-2.579 -1.950 2.260
2.933 -4.378 -0.431
2.058 4.313 2.626
Mg Pb As
2 1 1
Cartesian
1.160 -2.659 2.473
1.252 0.643 1.983
-1.290 -0.975 1.130
1.466 -2.189 -0.215
```

---

Name the least stable of them. b.

---

a:
A plane-wave DFT calculation with meta-GGA SCAN was carried out for TaMnCo2 at its PBEsol-relaxed geometry.

Summary:
For the mass density, the calculation gives 11.773 g/cm³. The calculation puts the total moment at 5.5 μB/f.u. The symmetry is C2/m (12). The crystal system is monoclinic.

The structure in POSCAR format:
```
TaMnCo2
1.0
-1.206 0.752 2.208
2.806 -3.387 1.706
2.166 4.025 -1.166
Co Ta Mn
2 1 1
Cartesian
1.083 2.013 -0.583
1.403 -1.694 0.853
1.883 0.695 1.374
-0.603 0.376 1.104
```

---

b:
A plane-wave DFT calculation with meta-GGA SCAN was carried out for TaMnCo2 at its PBEsol-relaxed geometry.

Summary:
For the mass density, the calculation gives 12.317 g/cm³. The calculation puts the total moment at 2.1 μB/f.u. The symmetry is P4/mmm (123). The crystal system is tetragonal.

The structure in POSCAR format:
```
TaMnCo2
1.0
3.561 0.000 0.000
0.000 3.660 0.000
0.000 0.000 3.660
Co Ta Mn
2 1 1
Cartesian
0.000 0.000 1.830
0.000 1.830 0.000
1.780 0.000 0.000
1.780 1.830 1.830
```

---

Name the least stable of them. a.